[1]
An optimized crystal structure of Tb3Pr2Er6Pu, computed with PBE.

abc: 6.1512 6.1512 11.6763
angles: 95.05 95.05 120.03
Site moments in Bohr magnetons follow the coordinates.
Element x y z (fractional)
Tb 0.5000 0.5000 0.5000  0.03
Tb 0.1670 0.8330 0.5000  0.02
Tb 0.8330 0.1670 0.5000  0.02
Pr 0.6665 0.3335 0.0000  -0.02
Pr 0.3335 0.6665 0.0000  -0.02
Er 0.7549 0.7549 0.2509  -0.04
Er 0.0836 0.4123 0.2508  -0.04
Er 0.2451 0.2451 0.7491  -0.04
Er 0.4123 0.0836 0.2508  -0.04
Er 0.5877 0.9164 0.7492  -0.04
Er 0.9164 0.5877 0.7492  -0.04
Pu 0.0000 0.0000 0.0000  -5.56

Values from the calculation:
* formation energy: 0.049 eV per atom
* SG: C2/m

[2]
An optimized crystal structure of Pr3Er2PuTe6, computed with PBE.

abc: 4.3929 8.9840 9.9878
angles: 104.16 102.70 90.00
Site moments in Bohr magnetons follow the coordinates.
Element x y z (fractional)
Te 0.9963 0.7540 0.9926  0.03
Te 0.3340 0.9063 0.6680  0.01
Te 0.6722 0.5728 0.3443  0.00
Te 0.3278 0.4272 0.6557  0.00
Te 0.6660 0.0937 0.3320  0.01
Te 0.0037 0.2460 0.0074  0.03
Pr 0.5000 0.5000 0.0000  0.01
Pr 0.1643 0.8332 0.3286  -0.01
Pr 0.8357 0.1668 0.6714  -0.01
Er 0.1633 0.3274 0.3265  -0.04
Er 0.8367 0.6726 0.6735  -0.04
Pu 0.5000 0.0000 0.0000  -5.55

Values from the calculation:
* raw formation energy: -15.9 eV/f.u.
* SG: C2/m

[3]
An optimized crystal structure of Pr2ErPuTe5, computed with PBE.

abc: 5.4343 5.4343 11.7250
angles: 90.00 90.00 90.00
Site moments in Bohr magnetons follow the coordinates.
Element x y z (fractional)
Te 0.0000 0.0000 0.2504  -0.04
Te 0.5000 0.0000 0.5000  -0.01
Te 0.5000 0.5000 0.0000  -0.06
Te 0.0000 0.5000 0.5000  -0.01
Te 0.0000 0.0000 0.7496  -0.04
Pr 0.5000 0.5000 0.3008  0.14
Pr 0.5000 0.5000 0.6992  0.14
Er 0.0000 0.0000 0.5000  0.03
Pu 0.0000 0.0000 0.0000  5.64

Values from the calculation:
* raw formation energy: -7.1 eV/f.u.
* SG: P4/mmm

[4]
An optimized crystal structure of PrErPu2Te5, computed with PBE.

abc: 5.4825 5.4825 11.8100
angles: 90.00 90.00 90.00
Site moments in Bohr magnetons follow the coordinates.
Element x y z (fractional)
Pu 0.5000 0.5000 0.3238  5.75
Pu 0.5000 0.5000 0.6762  5.75
Pr 0.0000 0.0000 0.0000  0.04
Te 0.5000 0.0000 0.5000  -0.04
Te 0.0000 0.0000 0.7498  -0.03
Te 0.0000 0.0000 0.2502  -0.03
Te 0.0000 0.5000 0.5000  -0.04
Te 0.5000 0.5000 0.0000  -0.03
Er 0.0000 0.0000 0.5000  0.06

Values from the calculation:
* raw formation energy: -6.6 eV/f.u.
* SG: P4/mmm

[5]
An optimized crystal structure of PrEr3Pu2Te6, computed with PBE.

abc: 4.3633 8.8421 9.8486
angles: 103.60 102.80 90.00
Site moments in Bohr magnetons follow the coordinates.
Element x y z (fractional)
Er 0.8356 0.1665 0.6712  0.01
Er 0.5000 0.5000 0.0000  0.03
Er 0.1644 0.8335 0.3288  0.01
Te 0.6713 0.0804 0.3426  -0.03
Te 0.3287 0.9196 0.6574  -0.03
Te 0.0012 0.7391 0.0025  -0.01
Te 0.6651 0.5882 0.3302  -0.04
Te 0.3349 0.4118 0.6698  -0.04
Te 0.9988 0.2609 0.9975  -0.01
Pu 0.8339 0.6674 0.6677  5.60
Pu 0.1661 0.3326 0.3323  5.60
Pr 0.5000 0.0000 0.0000  0.04

Values from the calculation:
* raw formation energy: -14.8 eV/f.u.
* SG: C2/m

[6]
An optimized crystal structure of Pr2Er3Tm6Pu, computed with PBE.

abc: 6.1093 6.1093 11.6142
angles: 95.05 95.05 120.02
Site moments in Bohr magnetons follow the coordinates.
Element x y z (fractional)
Tm 0.0840 0.4128 0.2521  -0.03
Tm 0.9160 0.5872 0.7479  -0.03
Tm 0.5872 0.9160 0.7479  -0.03
Tm 0.2448 0.2448 0.7477  -0.02
Tm 0.7552 0.7552 0.2523  -0.02
Tm 0.4128 0.0840 0.2521  -0.03
Pu 0.0000 0.0000 0.0000  -5.56
Er 0.1669 0.8331 0.5000  0.04
Er 0.5000 0.5000 0.5000  0.04
Er 0.8331 0.1669 0.5000  0.04
Pr 0.3335 0.6665 0.0000  -0.03
Pr 0.6665 0.3335 0.0000  -0.03

Values from the calculation:
* formation energy: 0.054 eV per atom
* SG: C2/m

[7]
An optimized crystal structure of Pr3Er2Tm6Pu, computed with PBE.

abc: 6.1366 6.1366 11.6337
angles: 95.05 95.05 120.00
Site moments in Bohr magnetons follow the coordinates.
Element x y z (fractional)
Tm 0.0811 0.4100 0.2432  0.06
Tm 0.5900 0.9189 0.7568  0.06
Tm 0.9189 0.5900 0.7568  0.06
Tm 0.4100 0.0811 0.2432  0.06
Tm 0.2479 0.2479 0.7565  0.06
Tm 0.7521 0.7521 0.2435  0.06
Pu 0.0000 0.0000 0.0000  5.58
Er 0.3334 0.6666 0.0000  0.10
Er 0.6666 0.3334 0.0000  0.10
Pr 0.1675 0.8325 0.5000  -0.02
Pr 0.5000 0.5000 0.5000  -0.03
Pr 0.8325 0.1675 0.5000  -0.02

Values from the calculation:
* formation energy: 0.046 eV per atom
* SG: C2/m

[8]
An optimized crystal structure of Pr3Y6Er2Pu, computed with PBE.

abc: 6.2133 6.2133 11.8110
angles: 95.04 95.04 120.00
Site moments in Bohr magnetons follow the coordinates.
Element x y z (fractional)
Pu 0.0000 0.0000 0.0000  5.59
Y 0.2481 0.2481 0.7565  0.04
Y 0.5893 0.9187 0.7566  0.04
Y 0.7519 0.7519 0.2435  0.04
Y 0.0813 0.4107 0.2434  0.04
Y 0.4107 0.0813 0.2434  0.04
Y 0.9187 0.5893 0.7566  0.04
Pr 0.5000 0.5000 0.5000  -0.02
Pr 0.8329 0.1671 0.5000  -0.02
Pr 0.1671 0.8329 0.5000  -0.02
Er 0.6666 0.3334 0.0000  0.10
Er 0.3334 0.6666 0.0000  0.10

Values from the calculation:
* formation energy: 0.048 eV per atom
* SG: C2/m

[9]
An optimized crystal structure of Pr2Y6Er3Pu, computed with PBE.

abc: 6.1894 6.1894 11.7879
angles: 95.04 95.04 120.04
Site moments in Bohr magnetons follow the coordinates.
Element x y z (fractional)
Pr 0.3335 0.6665 0.0000  0.03
Pr 0.6665 0.3335 0.0000  0.03
Y 0.0838 0.4131 0.2524  0.02
Y 0.9162 0.5869 0.7476  0.02
Y 0.2455 0.2455 0.7475  0.01
Y 0.4131 0.0838 0.2524  0.02
Y 0.7545 0.7545 0.2525  0.01
Y 0.5869 0.9162 0.7476  0.02
Er 0.1668 0.8332 0.5000  -0.05
Er 0.5000 0.5000 0.5000  -0.05
Er 0.8332 0.1668 0.5000  -0.05
Pu 0.0000 0.0000 0.0000  5.58

Values from the calculation:
* formation energy: 0.056 eV per atom
* SG: C2/m

[10]
An optimized crystal structure of Rb3PrEr2S6, computed with PBE.

abc: 7.1300 7.1300 8.0597
angles: 98.49 98.49 120.00
Element x y z (fractional)
S 0.4100 0.0644 0.1930
S 0.0644 0.4100 0.1930
S 0.5900 0.9356 0.8070
S 0.7186 0.7186 0.1925
S 0.2814 0.2814 0.8075
S 0.9356 0.5900 0.8070
Pr 0.0000 0.0000 0.0000
Rb 0.1649 0.8351 0.5000
Rb 0.8351 0.1649 0.5000
Rb 0.5000 0.5000 0.5000
Er 0.3332 0.6668 0.0000
Er 0.6668 0.3332 0.0000

Values from the calculation:
* raw formation energy: -22.0 eV/f.u.
* SG: C2/m

[11]
An optimized crystal structure of RbPrEr4S8, computed with PBE.

abc: 8.1914 8.1914 8.3769
angles: 60.73 60.73 60.00
Element x y z (fractional)
S 0.2325 0.7519 0.2637
S 0.7567 0.7567 0.7300
S 0.2402 0.2402 0.7164
S 0.2402 0.8032 0.7164
S 0.8032 0.2402 0.7164
S 0.7519 0.2325 0.2637
S 0.2287 0.2287 0.3138
S 0.7519 0.7519 0.2637
Pr 0.0051 0.0051 0.9846
Er 0.4872 0.0040 0.5048
Er 0.0040 0.0040 0.5048
Er 0.0040 0.4872 0.5048
Er 0.6256 0.6256 0.1233
Rb 0.3687 0.3687 0.8938

Values from the calculation:
* raw formation energy: -26.4 eV/f.u.
* SG: R3m

[12]
An optimized crystal structure of Rb2PrErSe4, computed with PBE.

abc: 4.3109 7.4700 8.3887
angles: 107.24 90.00 90.00
Element x y z (fractional)
Se 0.5000 0.2217 0.1957
Se 0.0000 0.2560 0.7999
Se 0.0000 0.7440 0.2001
Se 0.5000 0.7783 0.8043
Er 0.0000 0.0000 0.0000
Pr 0.5000 0.5000 0.0000
Rb 0.5000 0.0000 0.5000
Rb 0.0000 0.5000 0.5000

Values from the calculation:
* raw formation energy: -13.8 eV/f.u.
* SG: P2/m

[13]
An optimized crystal structure of Rb3Pr3ErSe8, computed with PBE.

abc: 8.6439 8.6440 9.5893
angles: 116.79 90.00 120.00
Element x y z (fractional)
Pr 0.5000 0.0000 0.5000
Pr 0.5000 0.5000 0.5000
Pr 0.0000 0.5000 0.5000
Se 0.2654 0.5308 0.2970
Se 0.2562 0.0305 0.3063
Se 0.2253 0.4506 0.6943
Se 0.2258 0.9695 0.6937
Se 0.7438 0.9695 0.6937
Se 0.7346 0.4692 0.7030
Se 0.7742 0.0305 0.3063
Se 0.7747 0.5494 0.3057
Er 0.0000 0.0000 0.5000
Rb 0.0000 0.0000 0.0000
Rb 0.5000 0.5000 0.0000
Rb 0.0000 0.5000 0.0000

Values from the calculation:
* raw formation energy: -24.7 eV/f.u.
* SG: C2/m

[14]
An optimized crystal structure of Rb3PrEr2Se6, computed with PBE.

abc: 7.4080 7.4080 8.3774
angles: 98.49 98.49 120.00
Element x y z (fractional)
Se 0.7205 0.7205 0.1962
Se 0.4106 0.0657 0.1968
Se 0.5894 0.9343 0.8032
Se 0.9343 0.5894 0.8032
Se 0.2795 0.2795 0.8038
Se 0.0657 0.4106 0.1968
Rb 0.8354 0.1646 0.5000
Rb 0.1646 0.8354 0.5000
Rb 0.5000 0.5000 0.5000
Pr 0.0000 0.0000 0.0000
Er 0.6669 0.3331 0.0000
Er 0.3331 0.6669 0.0000

Values from the calculation:
* raw formation energy: -20.7 eV/f.u.
* SG: C2/m

[15]
An optimized crystal structure of Rb3Pr2ErSe6, computed with PBE.

abc: 7.5240 7.5240 8.4049
angles: 98.59 98.59 120.00
Element x y z (fractional)
Er 0.0000 0.0000 0.0000
Se 0.7449 0.7449 0.1996
Se 0.2551 0.2551 0.8004
Se 0.6117 0.9336 0.8009
Se 0.9336 0.6117 0.8009
Se 0.0664 0.3883 0.1991
Se 0.3883 0.0664 0.1991
Rb 0.1687 0.8313 0.5000
Rb 0.8313 0.1687 0.5000
Rb 0.5000 0.5000 0.5000
Pr 0.3336 0.6664 0.0000
Pr 0.6664 0.3336 0.0000

Values from the calculation:
* raw formation energy: -20.7 eV/f.u.
* SG: C2/m

[16]
An optimized crystal structure of Rb4PrEr3Te8, computed with PBE.

abc: 9.0880 10.0371 9.0883
angles: 116.93 120.00 90.00
Element x y z (fractional)
Te 0.7615 0.2993 0.0377
Te 0.7238 0.7007 0.9623
Te 0.7615 0.2993 0.5230
Te 0.2678 0.3036 0.5357
Te 0.2385 0.7007 0.9623
Te 0.2762 0.2993 0.0377
Te 0.7322 0.6964 0.4643
Te 0.2385 0.7007 0.4770
Pr 0.0000 0.5000 0.0000
Er 0.0000 0.5000 0.5000
Er 0.5000 0.5000 0.0000
Er 0.5000 0.5000 0.5000
Rb 0.5000 0.0000 0.5000
Rb 0.5000 0.0000 0.0000
Rb 0.0000 0.0000 0.5000
Rb 0.0000 0.0000 0.0000

Values from the calculation:
* raw formation energy: -22.0 eV/f.u.
* SG: R-3m

[17]
An optimized crystal structure of Rb2PrErTe4, computed with PBE.

abc: 4.5886 7.9544 8.9660
angles: 107.17 90.00 90.00
Element x y z (fractional)
Te 0.0000 0.2553 0.7959
Te 0.0000 0.7447 0.2041
Te 0.5000 0.7766 0.8006
Te 0.5000 0.2234 0.1994
Er 0.0000 0.0000 0.0000
Rb 0.0000 0.5000 0.5000
Rb 0.5000 0.0000 0.5000
Pr 0.5000 0.5000 0.0000

Values from the calculation:
* raw formation energy: -11.1 eV/f.u.
* SG: P2/m

[18]
An optimized crystal structure of Rb4Pr3ErTe8, computed with PBE.

abc: 9.2718 10.1083 9.2721
angles: 117.31 120.00 90.00
Element x y z (fractional)
Te 0.7707 0.2972 0.0264
Te 0.2293 0.7028 0.4586
Te 0.7707 0.2972 0.5414
Te 0.2640 0.2922 0.5281
Te 0.7442 0.7028 0.9736
Te 0.2293 0.7028 0.9736
Te 0.2558 0.2972 0.0264
Te 0.7360 0.7078 0.4719
Er 0.0000 0.5000 0.0000
Rb 0.5000 0.0000 0.5000
Rb 0.0000 0.0000 0.5000
Rb 0.0000 0.0000 0.0000
Rb 0.5000 0.0000 0.0000
Pr 0.5000 0.5000 0.0000
Pr 0.5000 0.5000 0.5000
Pr 0.0000 0.5000 0.5000

Values from the calculation:
* raw formation energy: -22.4 eV/f.u.
* SG: R-3m

[19]
An optimized crystal structure of Pr2ErRe, computed with PBE.

abc: 3.5609 3.5609 10.6571
angles: 80.38 80.38 60.00
Element x y z (fractional)
Re 0.0000 0.0000 0.0000
Pr 0.2657 0.2657 0.2030
Pr 0.7343 0.7343 0.7970
Er 0.5000 0.5000 0.5000

Values from the calculation:
* formation energy: 0.498 eV per atom
* SG: R-3m

[20]
An optimized crystal structure of PrEr2Rh3, computed with PBE.

abc: 3.4404 3.4404 10.4373
angles: 90.00 90.00 90.00
Element x y z (fractional)
Rh 0.0000 0.0000 0.0000
Rh 0.0000 0.0000 0.6829
Rh 0.0000 0.0000 0.3171
Pr 0.5000 0.5000 0.5000
Er 0.5000 0.5000 0.1618
Er 0.5000 0.5000 0.8382

Values from the calculation:
* formation energy: -0.807 eV per atom
* SG: P4/mmm